# Hf2CdN, optimized geometry, DFT GGA-PBE
data_Hf2CdN
_chemical_formula_sum 'Hf8 Cd4 N4'
_symmetry_space_group_name_H-M 'I -4 2 d'
_symmetry_Int_Tables_number 122
_symmetry_space_group_name_Hall 'I -4 2bw'
_cell_length_a 6.578
_cell_length_b 6.578
_cell_length_c 7.064
_cell_angle_alpha 90.00
_cell_angle_beta 90.00
_cell_angle_gamma 90.00
loop_
_atom_site_label
_atom_site_fract_x
_atom_site_fract_y
_atom_site_fract_z
Hf1 0.144 0.750 0.125
Cd1 0.000 0.000 0.500
N1 0.000 0.000 0.000
# energy above the most stable polymorph in this dataset = 1.951 eV/f.u.

# CuAuCl2, optimized geometry, DFT GGA-PBE
data_CuAuCl2
_chemical_formula_sum 'Cu3 Au3 Cl6'
_symmetry_space_group_name_H-M 'R -3 m'
_symmetry_Int_Tables_number 166
_symmetry_space_group_name_Hall '-R 3 2"'
_cell_length_a 3.4775
_cell_length_b 3.4775
_cell_length_c 21.6826
_cell_angle_alpha 90.00
_cell_angle_beta 90.00
_cell_angle_gamma 120.00
loop_
_atom_site_label
_atom_site_fract_x
_atom_site_fract_y
_atom_site_fract_z
Cu1 0.0000 0.0000 0.0000
Au1 0.0000 0.0000 0.5000
Cl1 0.0000 0.0000 0.2653
# energy above the most stable polymorph in this dataset = 0.801 eV/f.u.

# MgSiF3, optimized geometry, DFT GGA-PBE
data_MgSiF3
_chemical_formula_sum 'Mg1 Si1 F3'
_symmetry_space_group_name_H-M 'P m -3 m'
_symmetry_Int_Tables_number 221
_symmetry_space_group_name_Hall '-P 4 2 3'
_cell_length_a 4.296
_cell_length_b 4.296
_cell_length_c 4.296
_cell_angle_alpha 90.00
_cell_angle_beta 90.00
_cell_angle_gamma 90.00
loop_
_atom_site_label
_atom_site_fract_x
_atom_site_fract_y
_atom_site_fract_z
Mg1 0.000 0.000 0.000
Si1 0.500 0.500 0.500
F1 0.000 0.500 0.500
# energy above the most stable polymorph in this dataset = 2.591 eV/f.u.

The records above yield formation energy (no corrections) values of -10.5 -0.7 -35.4 kcal/mol of atoms, respectively.